{
  "formula": "BeNiP2",
  "functional": "PBE",
  "state": "relaxed",
  "lattice": [[2.652, 0.000, 0.000], [0.000, 2.652, 0.000], [0.000, 0.000, 6.645]],
  "species": ["P", "P", "Be", "Ni"],
  "frac_coords": [[0.000, 0.000, 0.004], [0.000, 0.000, 0.496], [0.500, 0.500, 0.250], [0.500, 0.500, 0.750]],
  "magnetic_moment_mub_per_cell": 0.0,
  "n_ef_per_ev_atom": 0.3950,
  "formation_enthalpy_0k_ev_per_atom": 0.23
}


{
  "formula": "Be2NiP",
  "functional": "PBE",
  "state": "relaxed",
  "lattice": [[7.230, -0.010, -0.006], [6.764, 2.555, -0.006], [6.764, 1.230, 2.239]],
  "species": ["P", "Ni", "Be", "Be"],
  "frac_coords": [[0.751, 0.751, 0.751], [0.500, 0.500, 0.500], [0.250, 0.250, 0.250], [0.000, 0.000, 0.000]],
  "magnetic_moment_mub_per_cell": 0.0,
  "n_ef_per_ev_atom": 0.4304,
  "formation_enthalpy_0k_ev_per_atom": 0.11
}